The following is a DFT calculation (PBE) of an optimized crystal structure of HfGaTcNi.

Summary:
Its total magnetization is 0.000 μB/atom. The total DFT energy (no corrections) comes out at -7.750 eV per atom. The calculation puts the density of states at the Fermi level at 0.368 states/eV per atom. Its space-group type is Pmmm, No. 47.

Cell: 3.353 4.220 4.246 Å, 90.00 90.00 90.00°
Element x y z (fractional)
Ni: 0.000 0.000 0.000
Hf: 0.500 0.500 0.000
Tc: 0.000 0.500 0.500
Ga: 0.500 0.000 0.500